1.
Density functional theory data (PBE-GGA) for a relaxed structure of Os2RhBr.

```
4
Lattice="-2.1114 1.5667 -3.8858 -3.9185 -2.5630 -0.2967 1.6074 2.4696 3.6509" Properties=species:S:1:pos:R:3 pbc="T T T"
Rh -2.6631 -0.2958 0.6315
Os 0.0000 0.0000 0.0000
Os -3.0150 -0.4982 -2.0913
Br -1.7595 1.7691 -1.1631
```

Its energy relative to the lowest polymorph listed for this composition is 0.695 eV/atom. As for the crystal system: tetragonal.

2.
Density functional theory data (PBE-GGA) for a relaxed structure of Nd2CuSi3Pt12.

```
18
Lattice="-2.6264 4.4168 5.7084 1.7674 -2.4235 7.0707 5.3453 4.1557 3.6263" Properties=species:S:1:pos:R:3 pbc="T T T"
Nd 2.7714 3.7985 10.1345
Nd 1.7149 2.3504 6.2710
Cu 0.0000 0.0000 0.0000
Si -1.3132 2.2084 2.8542
Si 0.8837 -1.2117 3.5354
Si 2.6726 2.0778 1.8132
Pt 4.4789 4.4284 7.7900
Pt 1.2240 3.2770 12.5067
Pt 5.2451 3.1453 11.4564
Pt 0.1784 4.5693 8.9132
Pt 3.0288 6.5957 10.7692
Pt 2.5487 0.8791 9.6482
Pt 0.0073 1.7205 8.6154
Pt 3.2622 2.8719 3.8988
Pt -0.7589 3.0036 4.9490
Pt 4.3078 1.5797 7.4922
Pt 1.4575 -0.4468 5.6362
Pt 1.9375 5.2698 6.7572
```

As for the crystal system: trigonal. As for the total energy: -110.8 eV per cell.

3.
Density functional theory data (PBE-GGA) for a relaxed structure of SrMo2Au.

```
4
Lattice="5.6530 -0.0236 0.0188 4.6926 3.1522 0.0188 1.2905 0.3903 5.2283" Properties=species:S:1:pos:R:3 pbc="T T T"
Au 8.7270 2.6391 3.9494
Mo 1.4475 0.4377 4.6164
Mo 5.6611 1.7119 3.2448
Sr 2.9090 0.8797 1.3165
```

Its energy relative to the lowest polymorph listed for this composition is 0.202 eV/atom. As for the crystal system: monoclinic. The energy of formation is 479 meV per atom.

4.
Density functional theory data (PBE-GGA) for a relaxed structure of LiNd5Ag6.

```
12
Lattice="5.0475 -0.0045 -1.4150 -3.7812 7.2921 -3.8007 -0.2048 -1.0813 8.9837" Properties=species:S:1:pos:R:3 pbc="T T T"
Nd 1.7101 0.3420 6.0996
Nd -1.4074 1.7342 4.6850
Nd 0.5308 3.1031 1.8840
Nd -2.5787 4.4766 0.4980
Nd -0.6486 5.8643 -2.3316
Ag 0.8205 0.1284 2.9287
Ag 1.3822 3.4062 4.9185
Ag 2.7638 1.4321 0.1648
Ag -1.7023 4.7742 3.6032
Ag -0.3207 2.8001 -1.1504
Ag 0.2410 6.0779 0.8393
Li 0.0000 0.0000 0.0000
```

As for the crystal system: monoclinic. The energy of formation is -214 meV per atom.